(1)
LiNbSe3 | Alexandria via LeMat-Bulk | PBE | optimized geometry; space group = I-4m2 (119); total moment = 1.687 μB per cell; uncorrected energy = -4.807 eV per atom; energy relative to the lowest polymorph listed for this composition = 52.1 kJ/mol of atoms
1.0
5.433 0.000 0.000
0.000 5.433 0.000
2.716 2.716 8.845
Nb Se Li
2 6 2
direct
0.000 0.000 0.000 Nb
0.250 0.750 0.500 Nb
0.165 0.891 0.218 Se
0.109 0.835 0.782 Se
0.109 0.383 0.782 Se
0.617 0.891 0.218 Se
0.287 0.287 0.426 Se
0.713 0.713 0.574 Se
0.664 0.164 0.672 Li
0.836 0.336 0.328 Li

=====

(2)
LiNbSe3 | Alexandria via LeMat-Bulk | PBE | optimized geometry; space group = P1 (1); total moment = 0.000 μB per cell; uncorrected energy = -5.332 eV per atom; energy relative to the lowest polymorph listed for this composition = 1.4 kJ/mol of atoms
1.0
-2.883 -1.405 -0.216
1.089 -0.989 -6.485
3.291 -3.807 4.484
Nb Se Li
1 3 1
direct
0.161 0.746 0.917 Nb
0.535 0.756 0.612 Se
0.846 0.049 0.236 Se
0.663 0.432 0.903 Se
0.326 0.370 0.206 Li

=====

(3)
LiNbSe3 | Alexandria via LeMat-Bulk | PBE | optimized geometry; space group = Cc (9); total moment = 0.000 μB per cell; uncorrected energy = -5.347 eV per atom; energy relative to the lowest polymorph listed for this composition = 0.0 kJ/mol of atoms
1.0
6.799 -0.006 -0.002
0.992 6.313 0.003
-3.602 -1.561 5.794
Nb Se Li
2 6 2
direct
0.211 0.328 0.393 Nb
0.217 0.828 0.396 Nb
0.529 0.543 0.419 Se
0.924 0.531 0.078 Se
0.505 0.031 0.368 Se
0.235 0.186 0.711 Se
0.193 0.686 0.690 Se
0.899 0.043 0.104 Se
0.906 0.036 0.733 Li
0.522 0.536 0.041 Li

=====

(4)
LiNbSe3 | Alexandria via LeMat-Bulk | PBE | optimized geometry; space group = P6_3/mmc (194); total moment = 2.690 μB per cell; uncorrected energy = -4.916 eV per atom; energy relative to the lowest polymorph listed for this composition = 41.6 kJ/mol of atoms
1.0
1.723 2.945 -1.717
-3.767 0.091 0.624
2.905 7.860 16.403
Nb Se Li
2 6 2
direct
0.000 0.000 0.000 Nb
0.000 0.000 0.500 Nb
0.000 0.000 0.250 Se
0.000 0.000 0.750 Se
0.333 0.667 0.917 Se
0.333 0.667 0.583 Se
0.667 0.333 0.417 Se
0.667 0.333 0.083 Se
0.333 0.667 0.750 Li
0.667 0.333 0.250 Li

=====

(5)
LiNbSe3 | Alexandria via LeMat-Bulk | PBE | optimized geometry; space group = Cmcm (63); total moment = 2.775 μB per cell; uncorrected energy = -4.838 eV per atom; energy relative to the lowest polymorph listed for this composition = 49.1 kJ/mol of atoms
1.0
3.387 -10.540 0.000
3.387 10.540 0.000
0.000 0.000 4.597
Nb Se Li
2 6 2
direct
0.279 0.721 0.250 Nb
0.721 0.279 0.750 Nb
0.464 0.081 0.250 Se
0.919 0.536 0.250 Se
0.081 0.464 0.750 Se
0.536 0.919 0.750 Se
0.000 0.000 0.000 Se
0.000 0.000 0.500 Se
0.107 0.893 0.250 Li
0.893 0.107 0.750 Li

=====

(6)
LiNbSe3 | Alexandria via LeMat-Bulk | PBE | optimized geometry; space group = R3c (161); total moment = 0.000 μB per cell; uncorrected energy = -5.233 eV per atom; energy relative to the lowest polymorph listed for this composition = 11.0 kJ/mol of atoms
1.0
3.840 0.000 5.889
-1.920 3.326 5.889
-1.920 -3.326 5.889
Nb Se Li
2 6 2
direct
0.299 0.299 0.299 Nb
0.799 0.799 0.799 Nb
0.207 0.918 0.563 Se
0.418 0.707 0.063 Se
0.063 0.418 0.707 Se
0.707 0.063 0.418 Se
0.918 0.563 0.207 Se
0.563 0.207 0.918 Se
0.994 0.994 0.994 Li
0.494 0.494 0.494 Li

=====

(7)
LiNbSe3 | Alexandria via LeMat-Bulk | PBE | optimized geometry; space group = P4mm (99); total moment = 0.000 μB per cell; uncorrected energy = -5.143 eV per atom; energy relative to the lowest polymorph listed for this composition = 19.7 kJ/mol of atoms
1.0
4.969 0.000 0.000
0.000 4.969 0.000
0.000 0.000 6.462
Nb Se Li
1 3 1
direct
0.000 0.000 0.227 Nb
0.000 0.000 0.874 Se
0.500 0.000 0.353 Se
0.000 0.500 0.353 Se
0.500 0.500 0.457 Li

=====

(8)
LiNbSe3 | Alexandria via LeMat-Bulk | PBE | optimized geometry; space group = Cc (9); total moment = 0.000 μB per cell; uncorrected energy = -5.324 eV per atom; energy relative to the lowest polymorph listed for this composition = 2.2 kJ/mol of atoms
1.0
6.999 -0.105 -0.829
1.564 6.210 0.293
-5.156 -2.278 7.202
Nb Se Li
2 6 2
direct
0.821 0.167 0.150 Nb
0.820 0.667 0.150 Nb
0.158 0.467 0.435 Se
0.841 0.295 0.922 Se
0.154 0.963 0.426 Se
0.483 0.967 0.097 Se
0.487 0.463 0.092 Se
0.800 0.795 0.902 Se
0.319 0.335 0.233 Li
0.322 0.834 0.734 Li

=====

Result set for uncorrected formation energy: -31 -82 -83 -41 -34 -72 -63 -81 kJ/mol of atoms, one per record in the order listed.